Run 1
Entry from Alexandria: crystalline MnReHg2 at its relaxed geometry (PBE-GGA).

Unit cell a=4.274 b=2.834 c=6.459 alpha=64.18 beta=90.00 gamma=90.00
Sites, in units of the cell vectors:
Hg1 0.000 0.000 0.001
Hg2 0.000 0.500 0.499
Mn1 0.500 0.250 0.250
Re1 0.500 0.750 0.750

Space-group type = No. 10

---

Run 2
Entry from Alexandria: crystalline MnReHg2 at its relaxed geometry (PBE-GGA).

Unit cell a=5.066 b=5.066 c=5.066 alpha=131.98 beta=131.98 gamma=70.26
Sites, in units of the cell vectors:
Hg1 0.000 0.000 0.000
Hg2 0.250 0.750 0.500
Mn1 0.500 0.500 0.000
Re1 0.750 0.250 0.500

Space-group type = No. 119

---

Run 3
Entry from Alexandria: crystalline MnReHg2 at its relaxed geometry (PBE-GGA).

Unit cell a=4.662 b=4.662 c=4.662 alpha=60.00 beta=60.00 gamma=60.00
Sites, in units of the cell vectors:
Hg1 0.000 0.000 0.000
Hg2 0.250 0.250 0.250
Mn1 0.500 0.500 0.500
Re1 0.750 0.750 0.750

Space-group type = No. 216

---

Run 4
Entry from Alexandria: crystalline MnReHg2 at its relaxed geometry (PBE-GGA).

Unit cell a=7.440 b=7.440 c=5.971 alpha=51.46 beta=51.46 gamma=90.00
Sites, in units of the cell vectors:
Re1 0.000 0.000 0.000
Re2 0.750 0.250 0.500
Mn1 0.500 0.500 0.000
Mn2 0.250 0.750 0.500
Hg1 0.620 0.125 0.250
Hg2 0.130 0.625 0.250
Hg3 0.375 0.380 0.750
Hg4 0.875 0.870 0.750

Space-group type = No. 122

---

Which structure loses on stability? run 4 does.

---

Run 1
Entry from Alexandria: crystalline MnReHg2 at its relaxed geometry (PBE-GGA).

Unit cell a=5.037 b=5.037 c=5.156 alpha=79.98 beta=79.98 gamma=33.50
Sites, in units of the cell vectors:
Hg1 0.002 0.002 0.000
Hg2 0.498 0.498 0.500
Mn1 0.750 0.750 0.750
Re1 0.250 0.250 0.250

Space-group type = No. 12

---

Run 2
Entry from Alexandria: crystalline MnReHg2 at its relaxed geometry (PBE-GGA).

Unit cell a=5.112 b=5.112 c=2.876 alpha=90.00 beta=90.00 gamma=110.14
Sites, in units of the cell vectors:
Hg1 0.000 0.000 0.000
Hg2 0.500 0.500 0.000
Mn1 0.500 0.000 0.500
Re1 0.000 0.500 0.500

Space-group type = No. 65

---

Run 3
Entry from Alexandria: crystalline MnReHg2 at its relaxed geometry (PBE-GGA).

Unit cell a=5.136 b=5.136 c=5.136 alpha=133.35 beta=133.35 gamma=68.11
Sites, in units of the cell vectors:
Hg1 0.000 0.000 0.000
Hg2 0.500 0.500 0.000
Mn1 0.750 0.250 0.500
Re1 0.250 0.750 0.500

Space-group type = No. 139

---

Run 4
Entry from Alexandria: crystalline MnReHg2 at its relaxed geometry (PBE-GGA).

Unit cell a=4.549 b=4.549 c=4.549 alpha=60.00 beta=60.00 gamma=60.00
Sites, in units of the cell vectors:
Re1 0.500 0.500 0.500
Mn1 0.000 0.000 0.000
Hg1 0.250 0.250 0.250
Hg2 0.750 0.750 0.750

Space-group type = No. 225

---

Which structure loses on stability? run 4 does.

---

Run 1
Entry from Alexandria: crystalline MnReHg2 at its relaxed geometry (PBE-GGA).

Unit cell a=4.094 b=4.095 c=4.203 alpha=90.00 beta=90.00 gamma=90.00
Sites, in units of the cell vectors:
Hg1 0.000 0.000 0.000
Hg2 0.500 0.500 0.000
Mn1 0.500 0.000 0.500
Re1 0.000 0.500 0.500

Space-group type = No. 123

---

Run 2
Entry from Alexandria: crystalline MnReHg2 at its relaxed geometry (PBE-GGA).

Unit cell a=2.864 b=2.864 c=9.659 alpha=90.00 beta=90.00 gamma=113.24
Sites, in units of the cell vectors:
Hg1 0.000 0.000 0.980
Hg2 0.500 0.500 0.280
Mn1 0.000 0.000 0.525
Re1 0.500 0.500 0.715

Space-group type = No. 35

---

Which structure loses on stability? run 1 does.

---

Run 1
Entry from Alexandria: crystalline MnReHg2 at its relaxed geometry (PBE-GGA).

Unit cell a=2.847 b=2.847 c=9.550 alpha=90.00 beta=90.00 gamma=112.41
Sites, in units of the cell vectors:
Hg1 0.000 0.000 0.007
Hg2 0.000 0.000 0.493
Mn1 0.500 0.500 0.250
Re1 0.500 0.500 0.750

Space-group type = No. 65

---

Run 2
Entry from Alexandria: crystalline MnReHg2 at its relaxed geometry (PBE-GGA).

Unit cell a=2.902 b=2.916 c=8.605 alpha=77.89 beta=90.00 gamma=90.00
Sites, in units of the cell vectors:
Hg1 0.000 0.164 0.967
Hg2 0.500 0.077 0.294
Mn1 0.000 0.428 0.541
Re1 0.500 0.831 0.698

Space-group type = No. 6

---

Which structure loses on stability? run 1 does.